Compound: TlGaAu3
Source: Alexandria
Functional: PBE
Structure: optimized geometry

It has space group Pnma (No. 62), with a = 8.973 Å, b = 4.189 Å, c = 11.198 Å, α = 90.00°, β = 90.00° and γ = 90.00°. The distinct sites, in fractional coordinates, are Tl at (0.159, 0.250, 0.011), Ga at (0.123, 0.250, 0.368), Au at (0.074, 0.250, 0.594), Au at (0.103, 0.750, 0.793) and Au at (0.151, 0.750, 0.219).

Its energy above the most stable polymorph in this dataset is 0.00 eV/f.u. The density of states at the Fermi level comes out at 1.28 states/eV/f.u. The calculation puts the calculated total energy at -62.38 eV/cell. The formation enthalpy at 0 K is -0.074 eV/atom. As for the mass density: 13.65 Mg/m³.